First-principles (GGA+U) data for a relaxed structure of Li4VP6H8O22, as listed in the Alexandria database.

a = 7.0491 Å, b = 7.3514 Å, c = 9.0557 Å
α = 91.80°, β = 74.73°, γ = 89.68°
Atoms (fractional coordinates):
O  0.4420  0.0048  0.1754
O  0.1839  0.7574  0.9044
O  0.0547  0.4457  0.7760
O  0.5197  0.7548  0.3359
O  0.8161  0.2426  0.0956
O  0.4132  0.6693  0.0962
O  0.4803  0.2452  0.6641
O  0.3676  0.7741  0.6186
O  0.2125  0.2584  0.3190
O  0.7530  0.8137  0.0798
O  0.6324  0.2259  0.3814
O  0.7875  0.7416  0.6810
O  0.9453  0.5543  0.2240
O  0.7761  0.0389  0.5585
O  0.8209  0.3815  0.5600
O  0.5868  0.3307  0.9038
O  0.2470  0.1863  0.9202
O  0.9286  0.0292  0.7846
O  0.5580  0.9952  0.8246
O  0.1791  0.6185  0.4400
O  0.2239  0.9611  0.4415
O  0.0714  0.9708  0.2154
P  0.4622  0.1988  0.8420
P  0.7772  0.9423  0.7169
P  0.2228  0.0577  0.2831
P  0.5378  0.8012  0.1580
P  0.3145  0.7665  0.4712
P  0.6855  0.2335  0.5288
H  0.1043  0.5551  0.8209
H  0.9065  0.6568  0.1700
H  0.0935  0.3432  0.8300
H  0.7354  0.2228  0.2040
H  0.7225  0.2725  0.0342
H  0.2646  0.7772  0.7960
H  0.2775  0.7275  0.9658
H  0.8957  0.4449  0.1791
Li  0.1214  0.3761  0.5384
Li  0.2259  0.4994  0.2256
Li  0.7741  0.5006  0.7744
Li  0.8786  0.6239  0.4616
V  0.0000  0.0000  0.0000

DOS at the Fermi energy   0.00 states/eV/f.u.
Calculated total energy   -6.347 eV per atom
Crystal system   triclinic
V   452.5 Å³/f.u.